1.
## MgPb2 (PBE)

Data for a relaxed MgPb2 crystal.

Results
Energy above the lowest structure with this stoichiometry in meV per atom: 20

Cell lengths 13.9596, 13.9596, 13.9596 Å; angles 90.00, 90.00, 90.00 degrees
Space group Fd-3m (No. 227, origin choice 2)
Inequivalent atoms, fractional coordinates:
Mg 0.0366 0.0366 0.2134 [32 per cell]
Pb 0.0000 0.0000 0.0000 [16 per cell]
Pb 0.0593 0.3750 0.8750 [48 per cell]


2.
## MgPb2 (PBE)

Data for a relaxed MgPb2 crystal.

Results
Energy above the lowest structure with this stoichiometry in meV per atom: 22

Cell lengths 3.5191, 15.8727, 9.1596 Å; angles 90.00, 90.00, 90.00 degrees
Space group Amm2 (No. 38)
Inequivalent atoms, fractional coordinates:
Mg 0.0000 0.0000 0.0000 [2 per cell]
Mg 0.5000 0.1666 0.4993 [4 per cell]
Pb 0.0000 0.0000 0.3804 [2 per cell]
Pb 0.0000 0.1903 0.8090 [4 per cell]
Pb 0.5000 0.0000 0.7147 [2 per cell]
Pb 0.5000 0.1427 0.1419 [4 per cell]


3.
## MgPb (PBE)

Data for a relaxed MgPb crystal.

Cell lengths 4.5869, 4.5869, 10.0933 Å; angles 90.00, 90.00, 90.00 degrees
Space group I4_1/amd (No. 141, origin choice 2)
Inequivalent atoms, fractional coordinates:
Mg 0.0000 0.2500 0.3750 [4 per cell]
Pb 0.0000 0.2500 0.8750 [4 per cell]


4.
## MgPb2 (PBE)

Data for a relaxed MgPb2 crystal.

Results
Energy above the lowest structure with this stoichiometry in meV per atom: 0

Cell lengths 3.5003, 3.5003, 28.3559 Å; angles 90.00, 90.00, 90.00 degrees
Space group I4_1/amd (No. 141, origin choice 2)
Inequivalent atoms, fractional coordinates:
Mg 0.0000 0.2500 0.3750 [4 per cell]
Pb 0.0000 0.2500 0.8019 [8 per cell]


5.
## Mg5Pb (PBE)

Data for a relaxed Mg5Pb crystal.

Results
Energy above the lowest structure with this stoichiometry in meV per atom: 0

Cell lengths 4.5410, 13.5647, 4.6325 Å; angles 90.00, 90.00, 90.00 degrees
Space group Cmmm (No. 65)
Inequivalent atoms, fractional coordinates:
Mg 0.0000 0.0000 0.0000 [2 per cell]
Mg 0.0000 0.1683 0.5000 [4 per cell]
Mg 0.0000 0.3300 0.0000 [4 per cell]
Pb 0.0000 0.5000 0.5000 [2 per cell]


6.
## MgPb (PBE)

Data for a relaxed MgPb crystal.

Cell lengths 3.4140, 3.4140, 10.9057 Å; angles 90.00, 90.00, 120.00 degrees
Space group P-3m1 (No. 164)
Inequivalent atoms, fractional coordinates:
Mg 0.3333 0.6667 0.1141 [2 per cell]
Pb 0.3333 0.6667 0.6432 [2 per cell]


7.
## Mg17Pb12 (PBE)

Data for a relaxed Mg17Pb12 crystal.

Cell lengths 11.6081, 11.6081, 11.6081 Å; angles 90.00, 90.00, 90.00 degrees
Space group I-43m (No. 217)
Inequivalent atoms, fractional coordinates:
Mg 0.0000 0.0000 0.0000 [2 per cell]
Mg 0.0529 0.3610 0.3610 [24 per cell]
Mg 0.1687 0.1687 0.8313 [8 per cell]
Pb 0.0976 0.0976 0.2981 [24 per cell]


8.
## Mg3Pb (PBE)

Data for a relaxed Mg3Pb crystal.

Cell lengths 5.3307, 6.4570, 5.6752 Å; angles 90.00, 90.00, 90.00 degrees
Space group Pmmn (No. 59, origin choice 2)
Inequivalent atoms, fractional coordinates:
Mg 0.2500 0.0019 0.1617 [4 per cell]
Mg 0.2500 0.2500 0.6716 [2 per cell]
Pb 0.2500 0.7500 0.6665 [2 per cell]


9.
## Mg5Pb3 (PBE)

Data for a relaxed Mg5Pb3 crystal.

Results
Energy above the lowest structure with this stoichiometry in meV per atom: 44

Cell lengths 6.2185, 15.7103, 8.7658 Å; angles 90.00, 106.61, 90.00 degrees
Space group C2/m (No. 12)
Inequivalent atoms, fractional coordinates:
Mg 0.1036 0.1751 0.1933 [8 per cell]
Mg 0.1348 0.3999 0.3365 [8 per cell]
Mg 0.2397 0.0000 0.9919 [4 per cell]
Pb 0.0000 0.2365 0.5000 [4 per cell]
Pb 0.0000 0.3353 0.0000 [4 per cell]
Pb 0.1513 0.0000 0.3441 [4 per cell]


10.
## Mg3Pb4 (PBE)

Data for a relaxed Mg3Pb4 crystal.

Results
Energy above the lowest structure with this stoichiometry in meV per atom: 59

Cell lengths 9.2777, 9.2777, 9.2777 Å; angles 90.00, 90.00, 90.00 degrees
Space group I-43d (No. 220)
Inequivalent atoms, fractional coordinates:
Mg 0.0000 0.2500 0.3750 [12 per cell]
Pb 0.0833 0.0833 0.0833 [16 per cell]


11.
## Mg5Pb4 (PBE)

Data for a relaxed Mg5Pb4 crystal.

Results
Energy above the lowest structure with this stoichiometry in meV per atom: 25

Cell lengths 9.0921, 9.0921, 6.5407 Å; angles 90.00, 90.00, 120.00 degrees
Space group P6_3/mcm (No. 193)
Inequivalent atoms, fractional coordinates:
Mg 0.0000 0.3134 0.2500 [6 per cell]
Mg 0.3333 0.6667 0.0000 [4 per cell]
Pb 0.0000 0.0000 0.0000 [2 per cell]
Pb 0.0000 0.3609 0.7500 [6 per cell]


12.
## Mg5Pb7 (PBE)

Data for a relaxed Mg5Pb7 crystal.

Results
Energy above the lowest structure with this stoichiometry in meV per atom: 0

Cell lengths 14.0939, 4.7697, 10.9715 Å; angles 90.00, 115.70, 90.00 degrees
Space group C2/m (No. 12)
Inequivalent atoms, fractional coordinates:
Mg 0.0000 0.0000 0.0000 [2 per cell]
Mg 0.1648 0.0000 0.4959 [4 per cell]
Mg 0.2495 0.5000 0.7461 [4 per cell]
Pb 0.0000 0.5000 0.5000 [2 per cell]
Pb 0.0902 0.0000 0.7470 [4 per cell]
Pb 0.1005 0.5000 0.2663 [4 per cell]
Pb 0.1606 0.5000 0.9999 [4 per cell]


Calculated density
In order: 8.6; 8.5; 7.2; 8.4; 3.8; 7.0; 6.2; 4.8; 6.0; 7.5; 6.7; 7.9
Unit: g/cm3
Energy
In order: -3.0175; -3.0148; -2.6925; -3.0371; -1.9752; -2.6453; -2.4446; -2.1592; -2.4006; -2.7759; -2.5416; -2.8405
Unit: eV/atom